Record 1
DFT (PBE) results for a geometry-optimized Sc2CrPt structure.

POSCAR file:
```
Sc2CrPt
1.0
-3.2742 -4.1133 1.8227
0.2309 -1.5088 5.3509
-0.8809 4.2581 -3.4720
Sc Cr Pt
2 1 1
Cartesian
-2.8246 -1.3077 0.9364 Sc
-0.0638 -0.1179 0.1504 Sc
-1.4597 -2.6966 3.4408 Cr
-1.0977 -0.0529 2.7609 Pt
```

Output
The formation energy is -159.0 kJ/mol of formula units. As for the calculated density: 7.7 g cm⁻³. The size of the total moment is 2.5 μB/f.u.

---

Record 2
DFT (PBE) results for a geometry-optimized Pr6Pd2Pb structure.

POSCAR file:
```
Pr6Pd2Pb
1.0
-4.4044 -7.3281 2.7512
7.9359 1.3550 3.9818
-4.8561 7.2707 2.0552
Pr Pb Pd
12 2 4
Cartesian
-4.4739 -2.7294 2.6723 Pr
-0.6933 -1.7447 2.8465 Pr
2.0646 0.9892 3.9898 Pr
-0.6313 3.0422 5.9416 Pr
-1.8226 -5.3107 3.1868 Pr
0.7878 -4.2498 5.6703 Pr
-3.3892 0.3084 4.7984 Pr
-1.1494 1.9943 2.3721 Pr
0.4980 6.6083 5.6014 Pr
3.1492 4.0270 6.1158 Pr
-2.1124 5.5474 3.1178 Pr
-0.1752 -0.6967 6.4160 Pr
0.0000 0.0000 0.0000 Pb
1.5399 4.3128 3.0185 Pb
-3.4807 3.1908 4.6565 Pd
2.1561 -1.8933 4.1317 Pd
-5.9668 -0.0370 3.0968 Pd
-3.2938 -0.0204 1.7095 Pd
```

Output
The formation energy is -400.1 kJ/mol of formula units. As for the calculated density: 7.6 g cm⁻³. The size of the total moment is 0.0 μB/f.u.

---

Record 3
DFT (PBE) results for a geometry-optimized LiPtAuO4 structure.

POSCAR file:
```
LiPtAuO4
1.0
-4.3971 -1.3148 -3.9271
-0.9785 -1.6375 6.2893
-0.4086 5.9619 -1.5386
Pt O Au Li
2 8 2 2
Cartesian
-2.1986 -0.6574 -1.9636 Pt
-2.4029 2.3236 -2.7328 Pt
-3.6648 3.5683 -3.7618 O
-2.0130 0.5889 2.0568 O
-1.7478 4.1415 -2.0498 O
-4.0364 -1.1319 2.8734 O
-3.5921 -0.1942 -0.5584 O
-2.1195 -0.5587 4.5854 O
-3.7713 2.4207 -1.2332 O
-2.1922 3.2038 1.3819 O
-2.8921 1.5048 0.4118 Au
-0.6936 2.1622 2.3753 Au
-4.5289 -1.6544 0.9794 Li
-1.2554 4.6640 -0.1559 Li
```

Output
The uncorrected formation energy comes out at -632 meV/atom. As for the calculated density: 8.3 g cm⁻³. The size of the total moment is 0.0 μB/f.u.

---

Record 4
DFT (PBE) results for a geometry-optimized GaSbC2 structure.

POSCAR file:
```
GaSbC2
1.0
4.8658 0.0000 0.0000
0.0000 4.8658 0.0000
2.4329 2.4329 4.8774
Ga Sb C
2 2 4
Cartesian
2.4329 2.4329 0.0000 Ga
2.4329 4.8658 2.4387 Ga
4.8658 2.4329 2.4387 Sb
0.0000 0.0000 0.0000 Sb
1.2830 3.6493 1.2193 C
3.6493 3.7159 3.6580 C
6.0822 6.0157 3.6580 C
3.5828 1.2164 1.2193 C
```

Output
The uncorrected formation energy comes out at 747 meV/atom. As for the calculated density: 6.2 g cm⁻³. The size of the total moment is 0.0 μB/f.u.

---

Record 5
DFT (PBE) results for a geometry-optimized Li2Tb3Al7 structure.

POSCAR file:
```
Li2Tb3Al7
1.0
-4.5009 -0.4480 -3.2347
-0.3934 -4.1729 -3.6544
-5.4726 -6.4550 3.7290
Tb Al Li
3 7 2
Cartesian
-3.8493 -4.3780 1.1827 Tb
-6.5176 -6.6979 -4.3428 Tb
0.0000 0.0000 0.0000 Tb
-4.6968 -7.3434 0.4291 Al
-3.5764 -5.6311 -3.8032 Al
-5.1834 -5.5380 -1.5801 Al
-6.9909 -7.5718 -1.2196 Al
-5.6700 -3.7325 -3.5893 Al
-6.7904 -5.4449 0.6431 Al
-3.3759 -3.5042 -1.9405 Al
-7.0813 -7.9664 1.3971 Li
-3.2855 -3.1096 -4.5573 Li
```

Output
The formation energy is -466.8 kJ/mol of formula units. As for the calculated density: 4.9 g cm⁻³. The size of the total moment is 0.0 μB/f.u.

---

Record 6
DFT (PBE) results for a geometry-optimized Nd2YHf structure.

POSCAR file:
```
Nd2YHf
1.0
3.3936 0.0000 0.0000
1.6968 2.9390 0.0000
1.6968 0.9797 12.2454
Nd Y Hf
2 1 1
Cartesian
1.6968 0.9797 9.1283 Nd
5.0905 2.9390 3.1170 Nd
3.3936 1.9593 6.1227 Y
0.0000 0.0000 0.0000 Hf
```

Output
The formation energy is 150.1 kJ/mol of formula units. As for the calculated density: 7.6 g cm⁻³. The size of the total moment is 0.0 μB/f.u.

---

Among the records above, which one has the lowest calculated density? Li2Tb3Al7

---

What is the formula in the first record? Sc2CrPt